No. 1
# In2FeMo

An optimized crystal structure of In2FeMo (PBE-GGA, the Alexandria database).

The space group is I-4m2 (No. 119) and the conventional cell measures 4.002, 4.002 and 8.922 Å, with angles of 90.00, 90.00 and 90.00 degrees. The asymmetric unit holds In at (0.000, 0.000, 0.000), In at (0.000, 0.500, 0.250), Fe at (0.000, 0.000, 0.500) and Mo at (0.000, 0.500, 0.750).

The offset from the most stable computed form comes out at 201 meV/atom. Its uncorrected energy is -5.75 eV per atom. As for the size of the total moment: 3.2 μB/f.u. Its crystal system is tetragonal.



No. 2
# Mg5Tc

An optimized crystal structure of Mg5Tc (PBE-GGA, the Alexandria database).

The space group is Cmmm (No. 65) and the conventional cell measures 4.244, 12.809 and 4.320 Å, with angles of 90.00, 90.00 and 90.00 degrees. The asymmetric unit holds Mg at (0.000, 0.000, 0.000), Mg at (0.000, 0.155, 0.500), Mg at (0.000, 0.345, 0.000) and Tc at (0.000, 0.500, 0.500).

The offset from the most stable computed form comes out at 0 meV/atom. Its uncorrected energy is -2.93 eV per atom. As for the size of the total moment: 0.9 μB/f.u. Its crystal system is orthorhombic.